# 1
# Al2PAu

An optimized crystal structure of Al2PAu (PBE, Alexandria).

The calculated formation energy is 0.045 eV/atom. The crystal system is tetragonal. The value obtained for the calculated density is 7.05 g cm⁻³.

It has space group P4/mmm (No. 123), with a = 4.390 Å, b = 4.390 Å, c = 3.445 Å, α = 90.00°, β = 90.00° and γ = 90.00°. Symmetry generates all atoms from Al at (0.000, 0.500, 0.000), P at (0.000, 0.000, 0.500) and Au at (0.500, 0.500, 0.500).

---

# 2
# AlPAu2

An optimized crystal structure of AlPAu2 (PBE, Alexandria).

The calculated formation energy is 0.047 eV/atom. The crystal system is tetragonal. The value obtained for the calculated density is 10.95 g cm⁻³.

It has space group P4mm (No. 99), with a = 3.611 Å, b = 3.611 Å, c = 5.257 Å, α = 90.00°, β = 90.00° and γ = 90.00°. Symmetry generates all atoms from Al at (0.000, 0.000, 0.000), P at (0.500, 0.500, 0.755), Au at (0.000, 0.000, 0.511) and Au at (0.500, 0.500, 0.230).

---

# 3
# AlP3Au

An optimized crystal structure of AlP3Au (PBE, Alexandria).

The calculated formation energy is 0.840 eV/atom. The crystal system is cubic. The value obtained for the calculated density is 5.41 g cm⁻³.

It has space group Pm-3m (No. 221), with a = 4.599 Å, b = 4.599 Å, c = 4.599 Å, α = 90.00°, β = 90.00° and γ = 90.00°. Symmetry generates all atoms from Al at (0.000, 0.000, 0.000), P at (0.000, 0.000, 0.500) and Au at (0.500, 0.500, 0.500).